5
Lattice="-2.113 3.026 -4.004 -2.991 -4.248 -1.632 -4.305 1.673 3.536" Properties=species:S:1:pos:R:3 comment="RbAlIBr2 PBE-GGA relaxed" space_group="P4/mmm, No. 123" raw_formation_energy_mev_per_atom=-1026.9 e_above_lowest_polymorph_mev_per_atom=0 pbc="T T T"
Al 0.000 0.000 0.000
Rb -4.705 0.226 -1.049
Br -1.496 -2.124 -0.816
Br -1.057 1.513 -2.002
I -2.152 0.837 1.768


10
Lattice="-2.346 3.101 -6.844 -3.076 -6.094 3.920 -1.524 4.395 6.350" Properties=species:S:1:pos:R:3 comment="Tb3SmSn PBE-GGA relaxed" space_group="Ima2, No. 46" e_form_ev_per_fu=0.5 pbc="T T T"
Tb -1.607 -0.015 2.431
Tb -1.912 1.561 5.282
Tb -5.722 1.207 0.790
Tb -2.999 -3.797 4.760
Tb -2.781 1.085 -0.641
Tb -4.770 0.350 3.802
Sm -3.137 1.294 8.268
Sm -1.258 1.517 -3.466
Sn -2.944 2.727 2.285
Sn -4.262 -1.468 1.001